1.
Below is a relaxed structure of HoCd3Ag6, with properties calculated at the GGA-PBE level.

a = 9.8722 Å, b = 10.4837 Å, c = 8.0940 Å
α = 90.00°, β = 90.00°, γ = 90.00°
Closest atoms and distances in Å follow each position.
Space group Cmc2_1 (No. 36)
Symmetry-distinct sites (fractional):
Ho  0.0000  0.2470  0.0000 x4  6 Ag 3.02-3.18, 1 Cd 3.37
Cd  0.0000  0.4671  0.6913 x4  6 Ag 2.93-3.19
Cd  0.1603  0.1320  0.6277 x8  7 Ag 2.77-3.09
Ag  0.0000  0.0169  0.3520 x4  5 Ag 2.87-2.96, 4 Cd 2.87-2.99, 1 Ho 3.02
Ag  0.0000  0.2899  0.3708 x4  5 Ag 2.74-2.89, 1 Cd 2.93, 1 Ho 3.03
Ag  0.2341  0.4134  0.4560 x8  5 Ag 2.74-3.02, 3 Cd 2.88-3.05
Ag  0.2465  0.1540  0.2935 x8  3 Cd 2.77-2.93, 5 Ag 2.83-3.02

Calculated values
VASP energy: -2.4955 eV/atom
Formation energy from the elements: -52 meV per atom

---

2.
Below is a relaxed structure of EuHI, with properties calculated at the GGA-PBE level.

a = 3.7325 Å, b = 3.7325 Å, c = 11.0228 Å
α = 90.00°, β = 90.00°, γ = 90.00°
Closest atoms and distances in Å follow each position.
Space group I4mm (No. 107)
Symmetry-distinct sites (fractional):
Eu  0.0000  0.0000  0.0000 x2  4 H 2.73
H  0.0000  0.0000  0.5618 x2  4 Eu 2.73, 1 I 2.91
I  0.0000  0.0000  0.2978 x2  1 H 2.91

Calculated values
VASP energy: -5.8127 eV/atom

---

3.
Below is a relaxed structure of Tl3ReTe, with properties calculated at the GGA-PBE level.

a = 5.4279 Å, b = 5.4279 Å, c = 5.4279 Å
α = 90.00°, β = 90.00°, γ = 90.00°
Closest atoms and distances in Å follow each position.
Space group Pm-3m (No. 221)
Symmetry-distinct sites (fractional):
Tl  0.0000  0.0000  0.5000 x3  2 Re 2.71
Re  0.0000  0.0000  0.0000 x1  6 Tl 2.71
Te  0.5000  0.5000  0.5000 x1  12 Tl 3.84

Calculated values
Formation energy without anion corrections: 0.692 eV per atom
VASP energy: -3.8456 eV/atom
Polymorph energy (0 for the lowest one): 0.000 eV/atom

---

4.
Below is a relaxed structure of TaRuPb2, with properties calculated at the GGA-PBE level.

a = 6.9469 Å, b = 6.9469 Å, c = 6.9469 Å
α = 90.00°, β = 90.00°, γ = 90.00°
Closest atoms and distances in Å follow each position.
Space group F-43m (No. 216)
Symmetry-distinct sites (fractional):
Ta  0.0000  0.0000  0.0000 x4  4 Ru 3.01, 4 Pb 3.01
Ru  0.2500  0.2500  0.7500 x4  4 Pb 3.01, 4 Ta 3.01
Pb  0.0000  0.0000  0.5000 x4  4 Pb 3.01, 4 Ru 3.01
Pb  0.2500  0.2500  0.2500 x4  4 Ta 3.01, 4 Pb 3.01

Calculated values
VASP energy: -6.4177 eV/atom
Formation energy from the elements: 719 meV per atom
Polymorph energy (0 for the lowest one): 0.623 eV/atom

---

5.
Below is a relaxed structure of Mn2NiP, with properties calculated at the GGA-PBE level.

a = 2.7991 Å, b = 3.9971 Å, c = 8.0980 Å
α = 90.00°, β = 90.00°, γ = 90.00°
Closest atoms and distances in Å follow each position.
Space group Imm2 (No. 44)
Symmetry-distinct sites (fractional):
Mn  0.0000  0.0000  0.0000 x2  4 P 2.44, 4 Mn 2.62-2.71, 4 Ni 2.66-2.68
Mn  0.0000  0.5000  0.2258 x2  2 P 2.34, 4 Ni 2.48
Ni  0.0000  0.5000  0.7800 x2  2 P 2.23, 4 Mn 2.48
P  0.0000  0.0000  0.4941 x2  2 Ni 2.23, 6 Mn 2.34-2.44

Calculated values
VASP energy: -7.5966 eV/atom
Formation energy from the elements: -214 meV per atom

---

6.
Below is a relaxed structure of KTlCuSe2, with properties calculated at the GGA-PBE level.

a = 7.9229 Å, b = 5.0655 Å, c = 8.0479 Å
α = 90.00°, β = 110.12°, γ = 90.00°
Closest atoms and distances in Å follow each position.
Space group P2/c (No. 13)
Symmetry-distinct sites (fractional):
K  0.0000  0.2407  0.2500 x2  6 Se 3.39-3.43
Tl  0.5000  0.3951  0.7500 x2  2 Cu 2.84, 2 Se 2.88
Cu  0.5000  0.0000  0.0000 x2  2 Se 2.29
Se  0.2599  0.2576  0.9925 x4  1 Cu 2.29

Calculated values
Formation energy without anion corrections: -0.486 eV per atom
VASP energy: -3.3916 eV/atom

---

7.
Below is a relaxed structure of LiVRh, with properties calculated at the GGA-PBE level.

a = 2.9616 Å, b = 2.9616 Å, c = 9.5400 Å
α = 90.00°, β = 90.00°, γ = 90.00°
Closest atoms and distances in Å follow each position.
Space group P4/nmm (No. 129, origin choice 2)
Symmetry-distinct sites (fractional):
Li  0.2500  0.2500  0.0913 x2  4 Rh 2.69, 8 Li 2.72-2.96
V  0.2500  0.2500  0.4166 x2  4 Rh 2.53, 4 V 2.63
Rh  0.2500  0.2500  0.7325 x2  4 V 2.53, 4 Li 2.69

Calculated values
VASP energy: -6.4258 eV/atom
Formation energy from the elements: -298 meV per atom
Polymorph energy (0 for the lowest one): 0.000 eV/atom

---

8.
Below is a relaxed structure of PrReBr, with properties calculated at the GGA-PBE level.

a = 4.1937 Å, b = 4.1941 Å, c = 12.1702 Å
α = 99.57°, β = 90.20°, γ = 120.00°
Closest atoms and distances in Å follow each position.
Space group P1 (No. 1)
Symmetry-distinct sites (fractional):
Pr  0.0000  0.0000  0.0000 x1  3 Br 3.08, 6 Re 3.22-3.44
Pr  0.1286  0.2490  0.3831 x1  3 Br 3.10, 6 Re 3.23-3.44
Re  0.3931  0.7825  0.1782 x1  3 Re 2.44
Re  0.7352  0.4661  0.2042 x1  3 Re 2.44
Br  0.6131  0.2294  0.8403 x1  3 Pr 3.08
Br  0.8499  0.6883  0.5457 x1  3 Pr 3.10

Calculated values
Formation energy without anion corrections: -0.824 eV per atom
VASP energy: -7.1245 eV/atom
Polymorph energy (0 for the lowest one): 0.023 eV/atom

---

Among the records above, which one has the highest VASP energy? HoCd3Ag6

---

What is the formula in the sixth record? KTlCuSe2

---

Copy entry 6 word for word.
Below is a relaxed structure of KTlCuSe2, with properties calculated at the GGA-PBE level.

a = 7.9229 Å, b = 5.0655 Å, c = 8.0479 Å
α = 90.00°, β = 110.12°, γ = 90.00°
Closest atoms and distances in Å follow each position.
Space group P2/c (No. 13)
Symmetry-distinct sites (fractional):
K  0.0000  0.2407  0.2500 x2  6 Se 3.39-3.43
Tl  0.5000  0.3951  0.7500 x2  2 Cu 2.84, 2 Se 2.88
Cu  0.5000  0.0000  0.0000 x2  2 Se 2.29
Se  0.2599  0.2576  0.9925 x4  1 Cu 2.29

Calculated values
Formation energy without anion corrections: -0.486 eV per atom
VASP energy: -3.3916 eV/atom

---

Which formula does entry 5 have? Mn2NiP